KCrP2O6 | Alexandria | PBE with a Hubbard U | optimized geometry; electronic total energy = -6.76 eV/atom; D(E_F) = 0.012 states/eV per atom; M_tot = 0.50 μB per atom
1.0
2.633 1.520 6.256
-2.633 1.520 6.256
0.000 -3.040 6.256
K Cr P O
1 1 2 6
direct
0.000 0.000 0.000
0.500 0.500 0.500
0.247 0.247 0.247
0.753 0.753 0.753
0.084 0.699 0.525
0.301 0.475 0.916
0.475 0.916 0.301
0.525 0.084 0.699
0.699 0.525 0.084
0.916 0.301 0.475